Below is a geometry-optimized Cs2CdPbBr6 structure, with properties calculated at the PBE level. Values from VASP.

```
&SYSTEM
  ibrav = 0, nat = 10, ntyp = 4
/
ATOMIC_SPECIES
Pb 207.20 Pb.upf
Cs 132.91 Cs.upf
Br 79.90 Br.upf
Cd 112.41 Cd.upf
ATOMIC_POSITIONS crystal
Pb 0.000 0.000 0.000
Cs 0.750 0.250 0.500
Cs 0.250 0.750 0.500
Br 0.259 0.259 0.483
Br 0.741 0.741 0.517
Br 0.259 0.259 0.000
Br 0.741 0.741 0.000
Br 0.741 0.259 0.000
Br 0.259 0.741 0.000
Cd 0.500 0.500 0.000
CELL_PARAMETERS angstrom
-5.931 5.392 1.701
-5.300 -6.161 1.049
-4.223 -0.626 6.997
```

Properties
SG	Fm-3m, No. 225
N(E_F)	0.0	states/eV/f.u.
total energy	-2.90	eV per atom
uncorrected formation energy	-1.26	eV per atom